This record from Alexandria via LeMat-Bulk describes a geometry-optimized LiZr2Si structure. The functional is GGA-PBEsol.

abc: 6.167 7.412 3.043
angles: 90.00 90.00 90.00
Element x y z (fractional)
Li 0.000 0.000 0.000
Li 0.500 0.500 0.000
Zr 0.250 0.250 0.500
Zr 0.250 0.750 0.500
Zr 0.750 0.250 0.500
Zr 0.750 0.750 0.500
Si 0.000 0.500 0.000
Si 0.500 0.000 0.000

Summary:
crystal system	orthorhombic
E	-6.7469	eV/atom
space group	Cmmm (65)


This record from Alexandria via LeMat-Bulk describes a geometry-optimized LiZr2Si structure. The functional is GGA-PBEsol.

abc: 3.172 3.965 5.870
angles: 90.00 90.00 90.00
Element x y z (fractional)
Li 0.000 0.000 0.000
Zr 0.000 0.000 0.456
Zr 0.500 0.500 0.738
Si 0.500 0.500 0.241

Summary:
crystal system	orthorhombic
E	-6.6250	eV/atom
space group	Pmm2 (25)


This record from Alexandria via LeMat-Bulk describes a geometry-optimized Li2ZrSi structure. The functional is GGA-PBEsol.

abc: 8.174 2.846 5.993
angles: 90.00 96.40 90.00
Element x y z (fractional)
Li 0.000 0.000 0.000
Li 0.248 0.000 0.800
Li 0.500 0.500 0.000
Li 0.748 0.500 0.800
Zr 0.269 0.500 0.347
Zr 0.769 0.000 0.347
Si 0.011 0.500 0.588
Si 0.511 0.000 0.588

Summary:
crystal system	monoclinic
E	-4.7592	eV/atom
space group	Cm (8)


This record from Alexandria via LeMat-Bulk describes a geometry-optimized LiZr2Si structure. The functional is GGA-PBEsol.

abc: 3.941 3.941 8.973
angles: 90.00 90.00 90.00
Element x y z (fractional)
Li 0.000 0.000 0.000
Li 0.500 0.500 0.500
Zr 0.000 0.000 0.500
Zr 0.000 0.500 0.750
Zr 0.500 0.000 0.250
Zr 0.500 0.500 0.000
Si 0.000 0.500 0.250
Si 0.500 0.000 0.750

Summary:
crystal system	tetragonal
E	-6.7301	eV/atom
space group	I-4m2 (119)